This record from the Alexandria database describes crystalline MgSc3Pd4 at its relaxed geometry. The functional is PBE.

Computed properties:
magnetization: 0.0 μB/cell
calculated volume: 141.6 Å³/f.u.
calculated formation energy: -0.866 eV/atom

Lattice parameters (Å, degrees): 7.320 7.320 4.651 108.42 108.42 37.04
Atoms (fractional coordinates):
1 Mg 0.000 0.000 0.000
2 Sc 0.247 0.247 0.247
3 Sc 0.500 0.500 0.500
4 Sc 0.753 0.753 0.753
5 Pd 0.126 0.126 0.626
6 Pd 0.374 0.374 0.874
7 Pd 0.626 0.626 0.126
8 Pd 0.874 0.874 0.374